1.
PBE AsRu2W, relaxed; E_tot = -8.723 eV/atom; size of the total moment = 0.000 μB/f.u.; V = 15.298 Å³/atom
1.0
2.810 -0.006 0.000
-1.168 2.555 0.000
0.000 0.000 8.530
W As Ru
1 1 2
Direct
0.500 0.500 0.250
0.500 0.500 0.750
0.000 0.000 0.997
0.000 0.000 0.503


2.
PBE TmClO, relaxed; energy relative to the elements, uncorrected = -901 kJ/mol of formula units; size of the total moment = 0.000 μB/f.u.; V = 23.097 Å³/atom
1.0
3.705 0.000 0.000
0.000 4.136 0.000
0.000 0.000 9.044
Tm O Cl
2 2 2
Direct
0.000 0.000 0.115
0.500 0.500 0.885
0.500 0.000 0.970
0.000 0.500 0.030
0.000 0.500 0.677
0.500 0.000 0.323


3.
PBE Pr8Er6Mg, relaxed; E_tot = -4.344 eV/atom; size of the total moment = 0.000 μB/f.u.; V = 33.386 Å³/atom
1.0
6.550 0.000 0.000
0.000 8.137 -4.698
0.000 0.000 9.396
Er Pr Mg
6 8 1
Direct
0.338 0.348 0.902
0.662 0.652 0.098
0.338 0.555 0.652
0.662 0.445 0.348
0.338 0.098 0.445
0.662 0.902 0.555
0.176 0.279 0.238
0.824 0.238 0.959
0.176 0.762 0.041
0.176 0.959 0.721
0.824 0.041 0.279
0.136 0.667 0.333
0.824 0.721 0.762
0.864 0.333 0.667
0.500 0.000 0.000


4.
PBE Na3CaTc, relaxed; energy relative to the lowest polymorph listed for this composition = 530.2 meV per atom; size of the total moment = 3.517 μB/f.u.; V = 43.870 Å³/atom
1.0
6.031 0.000 0.000
0.000 6.031 0.000
0.000 0.000 6.031
Tc Na Ca
1 3 1
Direct
0.500 0.500 0.500
0.000 0.500 0.000
0.000 0.000 0.500
0.500 0.000 0.000
0.000 0.000 0.000


5.
PBE PrInHgRh, relaxed; E_tot = -4.154 eV/atom; size of the total moment = 0.000 μB/f.u.; V = 22.616 Å³/atom
1.0
5.039 0.000 0.000
2.519 4.364 0.000
2.519 1.455 4.114
In Hg Pr Rh
1 1 1 1
Direct
0.750 0.750 0.750
0.500 0.500 0.500
0.250 0.250 0.250
0.000 0.000 0.000


6.
PBE ZnInCl3, relaxed; energy relative to the lowest polymorph listed for this composition = 110.3 meV per atom; energy relative to the elements, uncorrected = -441 kJ/mol of formula units; size of the total moment = 0.000 μB/f.u.; V = 29.116 Å³/atom
1.0
3.926 -2.266 0.000
0.000 4.533 0.000
0.000 0.000 16.362
Cl In Zn
6 2 2
Direct
0.333 0.667 0.890
0.000 0.000 0.250
0.667 0.333 0.110
0.333 0.667 0.610
0.667 0.333 0.390
0.000 0.000 0.750
0.000 0.000 0.500
0.000 0.000 0.000
0.667 0.333 0.250
0.333 0.667 0.750


7.
PBE CaZrFe3, relaxed; energy relative to the lowest polymorph listed for this composition = 0.0 meV per atom; size of the total moment = 6.394 μB/f.u.; V = 21.717 Å³/atom
1.0
-4.104 1.613 -1.821
0.046 -3.519 -3.221
-2.432 -2.788 3.012
Ca Fe Zr
1 3 1
Direct
0.500 0.500 0.500
0.000 0.500 0.000
0.000 0.000 0.500
0.500 0.000 0.000
0.000 0.000 0.000


8.
PBE Cr2ReNi, relaxed; E_tot = -9.196 eV/atom; size of the total moment = 0.187 μB/f.u.; V = 12.450 Å³/atom
1.0
-1.758 -1.884 -0.334
2.571 -2.539 0.785
-1.255 0.282 5.021
Cr Ni Re
2 1 1
Direct
0.000 0.000 0.010
0.500 0.500 0.244
0.000 0.000 0.492
0.500 0.500 0.754


9.
PBE NiIrPd, relaxed; energy relative to the lowest polymorph listed for this composition = 234.1 meV per atom; size of the total moment = 0.342 μB/f.u.; V = 14.414 Å³/atom
1.0
-2.243 1.263 -0.618
-2.046 -2.440 2.437
2.327 4.533 6.493
Pd Ni Ir
2 2 2
Direct
0.051 0.750 0.103
0.949 0.250 0.897
0.859 0.750 0.717
0.141 0.250 0.283
0.295 0.250 0.589
0.705 0.750 0.411


10.
PBE Nd8P3S4N, relaxed; energy relative to the elements, uncorrected = -2737 kJ/mol of formula units; size of the total moment = 0.000 μB/f.u.; V = 23.793 Å³/atom
1.0
8.101 0.000 0.000
0.000 8.170 0.043
-4.050 -4.046 5.731
Nd P N S
8 3 1 4
Direct
0.761 0.730 0.996
0.234 0.730 0.996
0.239 0.270 0.004
0.252 0.257 0.504
0.766 0.270 0.004
0.748 0.743 0.496
0.765 0.270 0.531
0.235 0.730 0.469
0.000 0.500 0.500
0.500 0.500 0.500
0.500 0.500 0.000
0.000 0.500 0.000
0.000 0.000 0.000
0.500 0.000 0.500
0.000 0.000 0.500
0.500 0.000 0.000


11.
PBE Na2BiBr, relaxed; energy relative to the lowest polymorph listed for this composition = 284.6 meV per atom; energy relative to the elements, uncorrected = -207 kJ/mol of formula units; size of the total moment = 0.000 μB/f.u.; V = 33.850 Å³/atom
1.0
7.971 0.000 0.000
0.000 7.971 0.000
3.986 3.986 4.262
Br Na Bi
2 4 2
Direct
0.250 0.750 0.500
0.500 0.500 0.000
0.375 0.421 0.750
0.171 0.625 0.250
0.579 0.125 0.250
0.875 0.829 0.750
0.000 0.000 0.000
0.750 0.250 0.500


12.
PBE YTlInHg, relaxed; energy relative to the lowest polymorph listed for this composition = 129.1 meV per atom; size of the total moment = 0.000 μB/f.u.; V = 26.131 Å³/atom
1.0
-3.739 2.464 2.812
-5.064 -0.313 -1.487
-3.431 -2.814 2.876
Hg Y Tl In
1 1 1 1
Direct
0.750 0.750 0.750
0.500 0.500 0.500
0.250 0.250 0.250
0.000 0.000 0.000